Entry 1:
Y3Mg3HgPd2 (PBE, optimized geometry); total DFT energy (no corrections) = -4.4320 eV per atom; total moment = 0.03 μB per cell
1.0
-4.7507 2.2093 -5.4295
-2.6977 -2.4299 6.6142
0.1187 3.8517 1.4634
Hg Mg Y Pd
1 3 3 2
Cartesian
0.0593 1.9258 0.7317
-5.5414 -0.1641 0.8814
-1.2163 0.5656 -1.3901
-0.6907 -0.6221 1.6934
-3.0610 1.8334 1.2280
-1.5082 0.5139 4.5751
-2.7011 3.2096 -2.4232
-3.3820 -0.8835 2.5996
-4.0663 0.6629 -1.4150

---

Entry 2:
PrMgHg6 (PBE, optimized geometry); total DFT energy (no corrections) = -1.2278 eV per atom; total moment = 0.00 μB per cell
1.0
6.6464 0.0000 0.0000
-3.3232 5.7560 0.0000
0.0000 0.0000 5.0369
Hg Mg Pr
6 1 1
Cartesian
4.9292 2.8459 2.5185
5.0344 0.9307 0.0000
1.6120 0.9307 0.0000
3.3232 0.0642 2.5185
1.7172 2.8459 2.5185
3.3232 3.8945 0.0000
0.0000 0.0000 2.5185
0.0000 3.8373 0.0000

---

Entry 3:
PrMgHg (PBE, optimized geometry); total DFT energy (no corrections) = -2.4420 eV per atom; total moment = 0.68 μB per cell
1.0
3.2070 2.8524 2.6100
-1.4672 4.4761 1.7450
-0.6786 0.6737 4.9314
Hg Mg Pr
1 1 1
Cartesian
0.0000 0.0000 0.0000
0.2653 2.0005 2.3216
0.7959 6.0016 6.9648

---

Entry 4:
Pr3Mg3TlHg2 (PBE, optimized geometry); total DFT energy (no corrections) = -2.8071 eV per atom; total moment = 0.51 μB per cell
1.0
7.6697 0.0000 0.0000
-3.8349 6.6422 0.0000
0.0000 0.0000 4.7730
Tl Mg Hg Pr
1 3 2 3
Cartesian
0.0000 0.0000 0.0000
-0.9383 1.6252 2.3865
2.8966 5.0170 2.3865
1.8766 0.0000 2.3865
0.0000 4.4281 2.3865
3.8349 2.2141 2.3865
-2.1995 3.8096 0.0000
4.3990 0.0000 0.0000
1.6354 2.8326 0.0000

---

Entry 5:
Pr2TmMg3Tl2Hg (PBE, optimized geometry); total DFT energy (no corrections) = -3.0121 eV per atom; total moment = 0.01 μB per cell
1.0
4.6932 0.0000 0.0000
0.0000 6.5336 3.8669
0.0000 -6.5336 3.8669
Mg Tl Pr Hg Tm
3 2 2 1 1
Cartesian
2.3466 4.9754 4.7868
2.3466 -4.9754 4.7868
2.3466 0.0000 5.9137
2.3466 2.1068 3.8388
2.3466 -2.1068 3.8388
0.0000 2.7288 6.0945
0.0000 -2.7288 6.0945
0.0000 0.0000 0.1010
0.0000 0.0000 3.2141

---

Entry 6:
Pr2YMg3Tl2Hg (PBE, optimized geometry); total DFT energy (no corrections) = -3.2520 eV per atom; total moment = 0.00 μB per cell
1.0
4.6988 0.0000 0.0000
0.0000 6.5901 3.8632
0.0000 -6.5901 3.8632
Tl Pr Mg Hg Y
2 2 3 1 1
Cartesian
2.3494 -2.1466 3.8448
2.3494 2.1466 3.8448
0.0000 -2.7489 6.0996
0.0000 2.7489 6.0996
2.3494 0.0000 5.9013
2.3494 1.5675 0.9202
2.3494 -1.5675 0.9202
0.0000 0.0000 0.0658
0.0000 0.0000 3.2097

---

Entry 7:
PrY2Mg3Tl2Hg (PBE, optimized geometry); total DFT energy (no corrections) = -3.4393 eV per atom; total moment = 0.00 μB per cell
1.0
-2.2183 -4.0704 -0.3716
6.5913 -3.6866 1.0354
-4.4062 1.8593 5.9360
Hg Mg Pr Tl Y
1 3 1 2 2
Cartesian
2.1657 -1.8111 6.9096
-3.9503 -1.0511 5.9947
4.4352 -5.2798 2.2580
0.5531 -3.4253 5.1175
0.9186 -0.7681 2.9306
-1.8815 -2.0103 4.1519
1.8598 -3.8970 2.4847
-2.5544 1.0758 3.4639
3.8336 -2.1456 0.6173

---

Entry 8:
Pr3Mg3ZnHg2 (PBE, optimized geometry); total DFT energy (no corrections) = -2.6724 eV per atom; total moment = 0.00 μB per cell
1.0
-6.0273 4.1640 -1.8763
1.3397 -1.6585 7.2555
2.5926 3.9432 0.4227
Pr Mg Hg Zn
3 3 2 1
Cartesian
-2.7554 1.4728 3.1620
-2.4844 1.7164 -0.7734
0.5522 -0.6836 2.9907
0.1867 2.5647 1.4847
-3.3043 5.1500 -1.2208
2.3189 0.7057 5.7494
-2.2753 4.1948 1.3790
0.1803 2.2539 4.4229
0.0000 0.0000 0.0000

---

Entry 9:
Mg3Sc3HgPt2 (PBE, optimized geometry); total DFT energy (no corrections) = -4.6676 eV per atom; total moment = 0.01 μB per cell
1.0
7.3262 0.0000 0.0000
-3.6631 6.3447 0.0000
0.0000 0.0000 3.8077
Pt Mg Sc Hg
2 3 3 1
Cartesian
3.6631 2.1149 0.0000
0.0000 4.2298 0.0000
2.6876 4.6551 0.0000
-0.9755 1.6896 0.0000
1.9510 0.0000 0.0000
-2.1349 3.6977 1.9039
4.2698 0.0000 1.9039
1.5282 2.6470 1.9039
0.0000 0.0000 1.9039

---

Entry 10:
MgSiHgPt (PBE, optimized geometry); total moment = 0.00 μB per cell; energy above the lowest structure with this stoichiometry = 0 meV/atom
1.0
3.8036 0.3512 2.6069
-0.3296 1.4055 4.3935
0.7256 -2.9965 3.4470
Si Hg Mg Pt
1 1 1 1
Cartesian
1.0499 -0.3099 2.6118
0.0000 0.0000 0.0000
3.1497 -0.9298 7.8356
2.0998 -0.6199 5.2237

---

Entry 11:
Sm3Mg3Hg2Pt (PBE, optimized geometry); total DFT energy (no corrections) = -3.3825 eV per atom; total moment = 0.89 μB per cell
1.0
-1.9257 -6.4886 3.7781
6.6448 0.3425 -3.9766
2.0101 1.4309 3.4820
Sm Hg Mg Pt
3 2 3 1
Cartesian
1.8777 -2.4456 -0.0790
-1.1595 -3.9068 2.2748
4.0009 0.2062 -2.3943
1.9362 -3.4961 2.9342
4.7930 -1.2191 0.3493
2.5487 0.7950 0.8172
0.5577 -0.7919 2.6187
4.6279 -4.0029 1.5886
0.0000 0.0000 0.0000

---

Entry 12:
Tm3Mg3Hg2Pt (PBE, optimized geometry); total DFT energy (no corrections) = -3.3129 eV per atom; total moment = 0.06 μB per cell
1.0
7.5365 0.0000 0.0000
-3.7682 6.5268 0.0000
0.0000 0.0000 4.1955
Mg Pt Tm Hg
3 1 3 2
Cartesian
-0.8972 1.5541 2.0978
1.7945 0.0000 2.0978
2.8710 4.9727 2.0978
0.0000 0.0000 0.0000
-2.2794 3.9481 0.0000
1.4888 2.5787 0.0000
4.5589 0.0000 0.0000
3.7682 2.1756 2.0978
0.0000 4.3512 2.0978